VASP calculation (PBE-GGA) on crystalline LiSm2Au3 at its relaxed geometry.

```
data_LiSm2Au3
_chemical_formula_sum 'Li2 Sm4 Au6'
_cell_length_a 5.0953
_cell_length_b 5.0953
_cell_length_c 12.0855
_cell_angle_alpha 90.00
_cell_angle_beta 90.00
_cell_angle_gamma 120.00
_symmetry_space_group_name_H-M 'P -3 m 1'
_symmetry_Int_Tables_number 164
_symmetry_space_group_name_Hall '-P 3 2"'
loop_
_atom_site_label
_atom_site_type_symbol
_atom_site_fract_x
_atom_site_fract_y
_atom_site_fract_z
Li1 Li 0.3333 0.6667 0.1687
Sm1 Sm 0.0000 0.0000 0.0000
Sm2 Sm 0.0000 0.0000 0.5000
Sm3 Sm 0.3333 0.6667 0.6882
Au1 Au 0.0000 0.0000 0.2510
Au2 Au 0.3333 0.6667 0.4176
Au3 Au 0.3333 0.6667 0.9407
```

Values from the calculation:
The value obtained for the raw total energy is -4.25 eV per atom. For the magnetization, the calculation gives 0.00 μB per cell. As for the density of states at the Fermi level: 0.4715 states/eV/atom.